[1]
# Tb3Pm4Pr

A relaxed Tb3Pm4Pr crystal (PBE-GGA, the Alexandria database).

Cell: 6.351 7.351 11.667 Å, 90.00 90.00 90.00°
Element x y z (fractional)
Tb  0.647  0.624  0.000
Tb  0.981  0.624  0.250
Tb  0.481  0.376  0.250
Tb  0.147  0.376  0.500
Tb  0.481  0.376  0.750
Tb  0.981  0.624  0.750
Pm  0.146  0.873  0.000
Pm  0.650  0.126  0.000
Pm  0.981  0.125  0.253
Pm  0.481  0.875  0.247
Pm  0.150  0.874  0.500
Pm  0.646  0.127  0.500
Pm  0.481  0.875  0.753
Pm  0.981  0.125  0.747
Pr  0.148  0.375  0.000
Pr  0.648  0.625  0.500

Calculated values
- crystal system = orthorhombic
- spin magnetization (μB/f.u.) = 0.00
- formation energy from the elements (eV/atom) = 0.0286

***

[2]
# YFeCuIr2

A relaxed YFeCuIr2 crystal (PBE-GGA, the Alexandria database).

Cell: 4.466 4.878 4.466 Å, 90.00 90.00 90.00°
Element x y z (fractional)
Y  0.000  0.500  0.000
Ir  0.000  0.000  0.500
Ir  0.500  0.000  0.000
Fe  0.000  0.000  0.000
Cu  0.500  0.500  0.500

Calculated values
- crystal system = tetragonal
- spin magnetization (μB/f.u.) = 0.00
- formation energy from the elements (eV/atom) = 0.7272

***

[3]
# Pr12NdSm5

A relaxed Pr12NdSm5 crystal (PBE-GGA, the Alexandria database).

Cell: 15.656 11.064 5.221 Å, 90.00 90.00 44.99°
Element x y z (fractional)
Pr  0.834  0.000  0.500
Pr  0.166  0.000  0.500
Pr  0.665  0.000  0.000
Pr  0.335  0.000  0.000
Pr  0.333  0.666  0.000
Pr  0.001  0.666  0.000
Pr  0.999  0.334  0.000
Pr  0.667  0.334  0.000
Pr  0.499  0.333  0.500
Pr  0.832  0.667  0.500
Pr  0.168  0.333  0.500
Pr  0.501  0.667  0.500
Nd  0.000  0.000  0.000
Sm  0.500  0.000  0.500
Sm  0.167  0.666  0.500
Sm  0.833  0.334  0.500
Sm  0.667  0.667  0.000
Sm  0.333  0.333  0.000

Calculated values
- crystal system = orthorhombic
- spin magnetization (μB/f.u.) = 0.00
- formation energy from the elements (eV/atom) = 0.0134

***

| no. | volume (Å³ per cell) |
| --- | --- |
| 1 | 544.7 |
| 2 | 97.3 |
| 3 | 639.4 |